Here is SrCeP2O8 after structural relaxation from Alexandria via LeMat-Bulk. Energies are from PBE.

Results
As for the volume: 188 Å³ per cell. The space-group type is No. 147. The value obtained for the formation energy (no corrections) is -33.3 eV/f.u.

extended XYZ file:
```
12
Lattice="5.407 0.000 0.000 -2.704 4.683 0.000 0.000 0.000 7.417" Properties=species:S:1:pos:R:3 pbc="T T T"
Sr 0.000 0.000 0.000
Ce 0.000 0.000 3.708
P 0.000 3.122 5.783
P 2.704 1.561 1.634
O -0.038 1.664 5.213
O -1.243 3.884 5.213
O 0.000 3.122 7.295
O 1.422 0.865 2.203
O 1.282 3.818 5.213
O 2.704 1.561 0.121
O 3.947 0.799 2.203
O 2.742 3.019 2.203
```